LuBO3, relaxed, DFT PBE-GGA; calculated volume = 9.59 Å³ per atom; SG = P-1 (2); electronic total energy = -8.30 eV/atom
1.0
7.037 0.000 0.000
1.938 8.619 0.000
0.782 1.312 9.483
B Lu O
12 12 36
Cartesian
7.719 6.471 0.499
5.119 6.265 0.740
1.879 2.616 1.962
6.154 2.275 2.915
5.107 7.226 3.662
2.549 7.080 4.237
7.208 2.852 5.245
4.650 2.705 5.821
3.603 7.656 6.567
7.877 7.315 7.521
4.638 3.667 8.743
2.038 3.461 8.984
6.063 3.833 0.274
4.268 0.688 1.472
2.622 8.254 1.538
7.700 5.295 3.132
4.180 4.253 3.264
2.224 1.002 4.542
7.533 8.930 4.940
5.577 5.679 6.219
2.057 4.636 6.350
7.135 1.678 7.945
5.489 9.243 8.011
3.694 6.099 9.208
7.755 7.897 0.344
3.984 2.777 0.707
1.271 3.025 0.765
4.770 7.655 0.833
1.861 6.036 1.226
6.535 5.988 1.239
4.302 5.294 1.420
6.331 1.348 1.820
2.148 1.297 2.262
6.259 3.672 2.504
2.132 3.573 2.908
3.751 7.535 3.424
8.414 7.512 3.494
4.788 2.093 3.504
5.918 8.318 3.534
5.541 5.971 3.948
7.133 1.919 4.049
2.553 5.664 4.405
7.204 4.267 5.077
2.623 8.013 5.434
4.216 3.961 5.535
3.839 1.613 5.949
4.969 7.839 5.978
1.343 2.419 5.989
6.006 2.396 6.059
7.625 6.359 6.575
3.498 6.259 6.978
7.609 8.634 7.221
3.426 8.584 7.663
5.455 4.638 8.063
3.222 3.943 8.244
7.895 3.896 8.257
4.986 2.276 8.649
8.486 6.907 8.718
5.773 7.154 8.776
2.002 2.034 9.138

Pm2GeIr, relaxed, DFT PBE-GGA; calculated volume = 24.19 Å³ per atom; SG = P2_1/m (11); electronic total energy = -6.52 eV/atom
1.0
5.923 0.000 0.000
0.000 4.216 0.000
-2.831 0.000 7.748
Ge Ir Pm
2 2 4
Cartesian
2.916 1.054 2.274
0.177 3.162 5.474
4.481 3.162 1.651
-1.388 1.054 6.097
1.461 3.162 0.443
-0.062 1.054 3.185
3.154 3.162 4.564
1.632 1.054 7.305

YCuSi2Ag, relaxed, DFT PBE-GGA; calculated volume = 17.22 Å³ per atom; SG = I-4m2 (119); electronic total energy = -5.23 eV/atom
1.0
4.901 3.102 1.289
-0.237 5.325 2.625
-2.209 -5.481 0.624
Ag Cu Si Y
1 1 2 1
Cartesian
0.000 0.000 0.000
2.332 4.214 1.957
-0.576 1.092 2.168
0.462 2.967 3.038
2.512 0.918 1.935

Nd2TePbO6, relaxed, DFT PBE-GGA; calculated volume = 15.93 Å³ per atom; energy relative to the lowest polymorph listed for this composition = 6.42 eV/f.u.; SG = Fm-3m (225); electronic total energy = -6.05 eV/atom
1.0
0.000 4.303 4.303
4.303 0.000 4.303
4.303 4.303 0.000
Nd O Pb Te
2 6 1 1
Cartesian
2.151 2.151 2.151
6.454 6.454 6.454
2.273 4.303 4.303
4.303 2.273 4.303
4.303 4.303 6.332
4.303 4.303 2.273
4.303 6.332 4.303
6.332 4.303 4.303
0.000 0.000 0.000
4.303 4.303 4.303

ZnHg2Ir, relaxed, DFT PBE-GGA; DFT formation energy = 399 meV per atom; calculated volume = 17.95 Å³ per atom; SG = F-43m (216); electronic total energy = -2.28 eV/atom
1.0
0.000 3.299 3.299
3.299 0.000 3.299
3.299 3.299 0.000
Hg Ir Zn
2 1 1
Cartesian
0.000 0.000 0.000
4.949 4.949 4.949
1.650 1.650 1.650
3.299 3.299 3.299

NdSiBi, relaxed, DFT PBE-GGA; calculated volume = 29.62 Å³ per atom; energy relative to the lowest polymorph listed for this composition = 0.00 eV/f.u.; SG = F-43m (216); electronic total energy = -4.93 eV/atom
1.0
1.589 1.847 4.376
1.513 4.765 0.306
-2.785 3.359 2.460
Bi Nd Si
1 1 1
Cartesian
0.079 2.493 1.785
0.238 7.479 5.356
0.000 0.000 0.000

Li8SmO6, relaxed, DFT PBE-GGA; calculated volume = 9.77 Å³ per atom; SG = R-3 (148); electronic total energy = -5.28 eV/atom
1.0
-0.839 -3.547 5.112
2.920 -5.385 1.375
4.125 -0.978 4.631
Li O Sm
8 6 1
Cartesian
1.211 -5.495 5.123
3.113 -6.850 4.875
2.186 -3.491 3.916
4.201 -5.027 3.872
2.005 -4.883 7.246
4.020 -6.419 7.202
3.092 -3.060 6.243
4.994 -4.415 5.995
2.278 -5.591 3.574
2.001 -6.635 6.554
1.333 -3.614 5.864
4.873 -6.296 5.253
4.204 -3.275 4.563
3.927 -4.319 7.544
0.000 0.000 0.000

TbEr2N3, relaxed, DFT PBE-GGA; calculated volume = 14.37 Å³ per atom; SG = P-3m1 (164); electronic total energy = -8.20 eV/atom
1.0
3.439 0.000 0.000
-1.720 2.979 0.000
0.000 0.000 8.419
Er N Tb
2 3 1
Cartesian
1.720 0.993 1.389
0.000 1.986 7.031
0.000 0.000 0.000
0.000 1.986 2.774
1.720 0.993 5.646
0.000 0.000 4.210

Nb2ZnBi, relaxed, DFT PBE-GGA; calculated volume = 19.67 Å³ per atom; SG = F-43m (216); electronic total energy = -5.90 eV/atom
1.0
0.000 3.401 3.401
3.401 0.000 3.401
3.401 3.401 0.000
Bi Nb Zn
1 2 1
Cartesian
3.401 3.401 3.401
0.000 0.000 0.000
5.102 5.102 5.102
1.700 1.700 1.700

Li2Zr2AlInIr2, relaxed, DFT PBE-GGA; calculated volume = 16.55 Å³ per atom; SG = P-4m2 (115); electronic total energy = -6.27 eV/atom
1.0
-3.519 -2.534 -1.313
2.194 -1.069 -3.818
2.598 -5.126 2.928
Al In Ir Li Zr
1 1 2 2 2
Cartesian
0.000 0.000 0.000
0.637 -4.364 -1.101
1.709 -1.742 -1.219
0.227 -5.185 1.582
-1.135 -2.499 0.047
3.071 -4.428 0.316
-0.663 -1.801 -2.565
1.299 -2.563 1.464

LiHg2Ge, relaxed, DFT PBE-GGA; calculated volume = 20.50 Å³ per atom; SG = F-43m (216); electronic total energy = -1.77 eV/atom
1.0
-4.531 0.188 1.795
-2.741 3.971 -0.708
-3.828 -0.185 -3.016
Ge Hg Li
1 2 1
Cartesian
-5.550 1.987 -0.964
0.000 0.000 0.000
-8.325 2.980 -1.447
-2.775 0.993 -0.482

Ga4CuPt, relaxed, DFT PBE-GGA; calculated volume = 17.22 Å³ per atom; SG = P4/mmm (123); electronic total energy = -3.99 eV/atom
1.0
-1.207 -3.950 -0.692
1.527 -1.121 3.735
-5.215 1.159 2.480
Cu Ga Pt
1 4 1
Cartesian
0.000 0.000 0.000
-1.859 -1.696 0.251
-0.492 -0.281 2.465
-4.563 -1.095 1.537
-3.196 0.319 3.751
-2.447 -1.956 2.762